Computed, not measured: a geometry-optimized TaNbW6 structure at the GGA-PBE level of DFT.

Calculated values
DOS(E_F) ... 25.08 states/eV/cell
Crystal system ... trigonal
Total magnetic moment ... 0.0 μB/cell
Energy relative to the elements ... 115 kJ/mol of atoms
Energy above the lowest structure with this stoichiometry ... 1279 meV/atom

a = 7.2253 Å, b = 7.2253 Å, c = 10.2023 Å
α = 90.00°, β = 90.00°, γ = 120.00°
Space group R-3m (No. 166, hexagonal axes)
Asymmetric unit:
Ta1 0.0000 0.0000 0.0000 x3
Nb1 0.0000 0.0000 0.5000 x3
W1 0.0867 0.5434 0.3870 x18

---

Computed, not measured: a geometry-optimized K3TaPb2Se6 structure at the GGA-PBE level of DFT.

Calculated values
Formation energy (no corrections) ... -87 kJ per mole of atoms
Crystal system ... monoclinic
Total magnetic moment ... 0.0 μB/cell

a = 7.461 Å, b = 12.897 Å, c = 7.882 Å
α = 90.00°, β = 108.66°, γ = 90.00°
Space group C2/m (No. 12)
Asymmetric unit:
K1 0.000 0.000 0.000 x2
K2 0.000 0.325 0.000 x4
Ta1 0.000 0.500 0.500 x2
Pb1 0.000 0.165 0.500 x4
Se1 0.213 0.355 0.702 x8
Se2 0.220 0.500 0.297 x4